[1]
VASP calculation (PBE-GGA) on crystalline Mg4TlIn at its relaxed geometry.

Lattice parameters (Å, degrees): 10.4905 3.3303 8.9877 90.00 115.97 90.00
With the nearest neighbours (Å) after each atom.
Space group C2/m (No. 12)
Asymmetric unit:
Mg 0.1647 0.0000 0.3357 (multiplicity 4)  7 Mg 3.14-3.33, 3 In 3.16-3.19, 2 Tl 3.21
Mg 0.1684 0.0000 0.8305 (multiplicity 4)  3 Tl 3.13-3.25, 7 Mg 3.14-3.33, 2 In 3.18
Tl 0.0000 0.5000 0.0000 (multiplicity 2)  10 Mg 3.13-3.25, 2 Tl 3.33
In 0.0000 0.5000 0.5000 (multiplicity 2)  10 Mg 3.16-3.19, 2 In 3.33

Summary:
The energy above the most stable polymorph in this dataset is 0.0000 eV per atom. The energy of formation is -0.0553 eV per atom.

***

[2]
VASP calculation (PBE-GGA) on crystalline Cd2SbPb at its relaxed geometry.

Lattice parameters (Å, degrees): 3.4664 4.3056 7.2659 90.00 95.08 90.00
With the nearest neighbours (Å) after each atom.
Space group Pm (No. 6)
Asymmetric unit:
Cd 0.0000 0.0000 0.0000 (multiplicity 1)  6 Cd 3.14-3.47, 4 Sb 3.14-3.18, 1 Pb 3.44
Cd 0.4960 0.5000 0.7749 (multiplicity 1)  6 Cd 3.14-3.47, 1 Sb 3.16, 4 Pb 3.30-3.31
Sb 0.5293 0.5000 0.2111 (multiplicity 1)  5 Cd 3.14-3.18, 2 Pb 3.37, 2 Sb 3.47
Pb 0.9515 0.0000 0.5247 (multiplicity 1)  5 Cd 3.30-3.44, 2 Sb 3.37, 2 Pb 3.47

Summary:
The energy above the most stable polymorph in this dataset is 0.0000 eV per atom. For the uncorrected formation energy, the calculation gives 24 kJ/mol of formula units.

***

[3]
VASP calculation (PBE-GGA) on crystalline Li2SbPb at its relaxed geometry.

Lattice parameters (Å, degrees): 4.6277 4.6277 16.2173 90.00 90.00 120.00
With the nearest neighbours (Å) after each atom.
Space group R3m (No. 160, hexagonal axes)
Asymmetric unit:
Li 0.0000 0.0000 0.0000 (multiplicity 3)  3 Sb 2.88, 3 Li 3.15
Li 0.0000 0.0000 0.2304 (multiplicity 3)  3 Sb 2.74
Sb 0.0000 0.0000 0.6004 (multiplicity 3)  6 Li 2.74-2.88
Pb 0.0000 0.0000 0.7953 (multiplicity 3)  7 Li 3.14-3.39, 4 Sb 3.16-3.49

Summary:
The energy above the most stable polymorph in this dataset is 0.0843 eV per atom. For the uncorrected formation energy, the calculation gives -110 kJ/mol of formula units.

***

[4]
VASP calculation (PBE-GGA) on crystalline AcTlSn3 at its relaxed geometry.

Lattice parameters (Å, degrees): 4.5178 31.4243 4.6363 90.00 90.00 90.00
With the nearest neighbours (Å) after each atom.
Space group Cmcm (No. 63)
Asymmetric unit:
Ac 0.0000 0.0734 0.2500 (multiplicity 4)  10 Sn 3.54-3.90
Tl 0.0000 0.2094 0.7500 (multiplicity 4)  7 Sn 3.35-3.54
Sn 0.0000 0.3183 0.7500 (multiplicity 4)  2 Sn 2.97
Sn 0.0000 0.3772 0.2500 (multiplicity 4)  3 Sn 2.97-2.99
Sn 0.0000 0.4723 0.2500 (multiplicity 4)  3 Sn 2.90-2.99

Summary:
The energy of formation is -0.2921 eV per atom.

***

[5]
VASP calculation (PBE-GGA) on crystalline SmFe2C2 at its relaxed geometry.

Lattice parameters (Å, degrees): 5.9071 8.5167 9.1931 90.00 90.00 90.00
With the nearest neighbours (Å) after each atom.
Space group Fddd (No. 70, origin choice 2)
Asymmetric unit:
Sm 0.1250 0.1250 0.1250 (multiplicity 8)  6 C 2.71-2.79, 4 Fe 2.81
Fe 0.1250 0.1250 0.4924 (multiplicity 16)  4 C 1.92-1.97
C 0.1250 0.3070 0.6250 (multiplicity 16)  4 Fe 1.92-1.97

Summary:
The energy above the most stable polymorph in this dataset is 0.0000 eV per atom. The energy of formation is -0.2269 eV per atom.